This record from Alexandria describes crystalline La2CeSb3 at its relaxed geometry. The functional is PBE.

## Properties
Symmetry ... Fddd
M_tot ... 0.76 μB per formula unit
Total energy ... -141.42 eV per cell
ΔE_f (raw) ... -1.200 eV/atom

Lattice parameters (Å, degrees): 7.946 7.946 14.502 100.52 100.52 109.47
Positions (direct):
1 La 0.999 0.499 0.999
2 La 0.417 0.417 0.834
3 La 0.833 0.333 0.666
4 La 0.251 0.251 0.501
5 La 0.749 0.749 0.499
6 La 0.667 0.167 0.334
7 La 0.583 0.583 0.166
8 La 0.501 0.001 0.001
9 Ce 0.917 0.917 0.833
10 Ce 0.333 0.833 0.667
11 Ce 0.167 0.667 0.333
12 Ce 0.083 0.083 0.167
13 Sb 0.166 0.671 0.831
14 Sb 0.665 0.160 0.831
15 Sb 0.084 0.079 0.669
16 Sb 0.585 0.590 0.669
17 Sb 0.006 0.506 0.500
18 Sb 0.494 0.994 0.500
19 Sb 0.410 0.415 0.331
20 Sb 0.921 0.916 0.331
21 Sb 0.840 0.335 0.169
22 Sb 0.329 0.834 0.169
23 Sb 0.244 0.244 0.000
24 Sb 0.756 0.756 0.000